# BaPt2Rh

A relaxed structure of BaPt2Rh (GGA-PBE, Alexandria).

Lattice parameters (Å, degrees): 5.473 5.473 5.473 139.42 126.47 69.27
Element x y z (fractional)
Ba1 0.000 0.000 0.000
Pt1 0.284 0.784 0.500
Pt2 0.716 0.216 0.500
Rh1 0.500 0.500 0.000

electronic total energy: -20.684 eV per cell
formation energy: 168 meV/atom
DOS(E_F): 7.1 states/eV/cell

***

# BaPtRh2

A relaxed structure of BaPtRh2 (GGA-PBE, Alexandria).

Lattice parameters (Å, degrees): 5.972 5.972 5.972 150.81 129.80 59.13
Element x y z (fractional)
Ba1 0.000 0.000 0.000
Pt1 0.281 0.781 0.500
Rh1 0.507 0.507 0.000
Rh2 0.723 0.223 0.500

electronic total energy: -21.550 eV per cell
formation energy: 279 meV/atom
DOS(E_F): 6.7 states/eV/cell
offset from the most stable computed form: 501.3 meV per atom

***

Please write out number 1 again, unchanged.
# BaPt2Rh

A relaxed structure of BaPt2Rh (GGA-PBE, Alexandria).

Lattice parameters (Å, degrees): 5.473 5.473 5.473 139.42 126.47 69.27
Element x y z (fractional)
Ba1 0.000 0.000 0.000
Pt1 0.284 0.784 0.500
Pt2 0.716 0.216 0.500
Rh1 0.500 0.500 0.000

electronic total energy: -20.684 eV per cell
formation energy: 168 meV/atom
DOS(E_F): 7.1 states/eV/cell